A relaxed structure of La3MoPb. Source: the Alexandria database, functional PBE-GGA.

## Properties
Formation energy: -2.51 kJ/mol of atoms
V: 163.8 Å³/cell
Space group: Pm-3m (221)

```
La3MoPb
1.0
-1.708 1.976 4.808
1.524 -4.648 2.451
4.970 2.105 0.901
Pb Mo La
1 1 3
direct
0.500 0.500 0.500 Pb
0.000 0.000 0.000 Mo
0.000 0.500 0.000 La
0.000 0.000 0.500 La
0.500 0.000 0.000 La
```

A relaxed structure of DyP2Pd4. Source: the Alexandria database, functional PBE-GGA.

## Properties
Formation energy: -77.86 kJ/mol of atoms
V: 227.0 Å³/cell
Space group: P4_2/mnm (136)

```
DyP2Pd4
1.0
3.780 0.000 0.000
0.000 7.751 0.000
0.000 0.000 7.751
Dy P Pd
2 4 8
direct
0.500 0.000 0.000 Dy
0.000 0.500 0.500 Dy
0.000 0.224 0.776 P
0.000 0.776 0.224 P
0.500 0.724 0.724 P
0.500 0.276 0.276 P
0.000 0.072 0.319 Pd
0.000 0.928 0.681 Pd
0.500 0.181 0.572 Pd
0.500 0.819 0.428 Pd
0.500 0.428 0.819 Pd
0.500 0.572 0.181 Pd
0.000 0.319 0.072 Pd
0.000 0.681 0.928 Pd
```

A relaxed structure of NaHo2Tl. Source: the Alexandria database, functional PBE-GGA.

## Properties
Formation energy: -3.42 kJ/mol of atoms
V: 110.0 Å³/cell
Space group: Fm-3m (225)

```
NaHo2Tl
1.0
5.379 0.000 0.000
2.689 4.658 0.000
2.689 1.553 4.392
Na Tl Ho
1 1 2
direct
0.500 0.500 0.500 Na
0.000 0.000 0.000 Tl
0.250 0.250 0.250 Ho
0.750 0.750 0.750 Ho
```

no.,final energy (eV/cell)
1,-29.5
2,-83.7
3,-13.0